# DyTmTlGa, relaxed, DFT PBE-GGA
# * SG: No. 216
# * crystal system: cubic
# * calculated volume: 98.99 Å³/cell
# * energy above the most stable polymorph in this dataset: 30 meV/atom
# * DOS(E_F): 1.7 states/eV/cell
# * energy relative to the elements: -40 kJ per mole of atoms
data_DyTmTlGa
_chemical_formula_sum 'Dy1 Tm1 Tl1 Ga1'
_cell_length_a 5.192
_cell_length_b 5.192
_cell_length_c 5.192
_cell_angle_alpha 60.00
_cell_angle_beta 60.00
_cell_angle_gamma 60.00
_symmetry_space_group_name_H-M 'P 1'
_symmetry_Int_Tables_number 1
loop_
_symmetry_equiv_pos_as_xyz
'x,y,z'
loop_
_atom_site_label
_atom_site_type_symbol
_atom_site_fract_x
_atom_site_fract_y
_atom_site_fract_z
Tl1 Tl 0.750 0.750 0.750
Tm1 Tm 0.500 0.500 0.500
Ga1 Ga 0.250 0.250 0.250
Dy1 Dy 0.000 0.000 0.000